The following is a DFT calculation (PBE-GGA) of crystalline HgAsOs2 at its relaxed geometry.

Computed properties:
Total energy (eV/atom): -6.046
Space group: No. 44

```
HgAsOs2
1.0
-1.4382 2.3426 5.1319
1.4382 -2.3426 5.1319
1.4382 2.3426 -5.1319
Hg As Os
1 1 2
Direct
0.0000 0.0000 0.0000 Hg
0.7114 0.2114 0.5000 As
0.2797 0.7797 0.5000 Os
0.4892 0.4892 0.0000 Os
```

=====

The following is a DFT calculation (PBE-GGA) of crystalline Ti5Co2Pd2Rh at its relaxed geometry.

Computed properties:
Total energy (eV/atom): -7.521
Space group: No. 127

```
Ti5Co2Pd2Rh
1.0
10.1280 0.0000 0.0000
0.0000 10.1280 0.0000
0.0000 0.0000 2.9822
Ti Co Pd Rh
10 4 4 2
Direct
0.0000 0.5000 0.0000 Ti
0.0862 0.1958 0.0000 Ti
0.1958 0.9138 0.0000 Ti
0.3042 0.4138 0.0000 Ti
0.4138 0.6958 0.0000 Ti
0.5000 0.0000 0.0000 Ti
0.5862 0.3042 0.0000 Ti
0.6958 0.5862 0.0000 Ti
0.8042 0.0862 0.0000 Ti
0.9138 0.8042 0.0000 Ti
0.1317 0.3683 0.5000 Co
0.3683 0.8683 0.5000 Co
0.6317 0.1317 0.5000 Co
0.8683 0.6317 0.5000 Co
0.1666 0.6666 0.5000 Pd
0.3334 0.1666 0.5000 Pd
0.6666 0.8334 0.5000 Pd
0.8334 0.3334 0.5000 Pd
0.0000 0.0000 0.5000 Rh
0.5000 0.5000 0.5000 Rh
```